1.
TbPaCdO6 | Alexandria via LeMat-Bulk | GGA-PBE | relaxed; energy relative to the elements, uncorrected = -2.3536 eV per atom
1.0
4.853 0.000 0.000
0.000 5.693 0.000
0.000 -2.846 4.930
Tb Pa Cd O
1 1 1 6
direct
0.500 0.000 0.000 Tb
0.000 0.333 0.667 Pa
0.500 0.667 0.333 Cd
0.748 0.649 0.668 O
0.748 0.332 0.981 O
0.748 0.019 0.351 O
0.252 0.332 0.351 O
0.252 0.649 0.981 O
0.252 0.019 0.668 O

2.
SmY6Ho5 | Alexandria via LeMat-Bulk | GGA-PBE | relaxed; DFT formation energy = 0.3 eV/f.u.
1.0
11.699 -1.452 0.000
1.807 5.891 0.000
0.903 2.945 5.330
Sm Y Ho
1 6 5
direct
0.000 0.000 0.000 Sm
0.749 0.084 0.334 Y
0.251 0.583 0.334 Y
0.251 0.250 0.000 Y
0.749 0.750 0.000 Y
0.749 0.417 0.666 Y
0.251 0.916 0.666 Y
0.500 0.167 0.666 Ho
0.000 0.333 0.333 Ho
0.500 0.500 0.000 Ho
0.000 0.667 0.667 Ho
0.500 0.833 0.334 Ho

3.
BaFe2RuN | Alexandria via LeMat-Bulk | GGA-PBE | relaxed; energy relative to the elements, uncorrected = 3.3870 eV per atom
1.0
-1.273 0.301 4.885
1.295 -4.828 0.635
4.719 1.416 1.142
Ru N Ba Fe
1 1 1 2
direct
0.000 0.500 0.000 Ru
0.500 0.500 0.500 N
0.000 0.000 0.000 Ba
0.000 0.000 0.500 Fe
0.500 0.000 0.000 Fe

4.
Dy2Tm2Sc5 | Alexandria via LeMat-Bulk | GGA-PBE | relaxed; DFT formation energy = 0.9 eV/f.u.
1.0
-1.069 1.463 2.907
-8.387 3.289 -0.943
4.983 -11.901 0.108
Dy Tm Sc
2 2 5
direct
0.746 0.779 0.626 Dy
0.254 0.221 0.374 Dy
0.712 0.730 0.080 Tm
0.288 0.270 0.920 Tm
0.687 0.819 0.371 Sc
0.313 0.181 0.629 Sc
0.690 0.566 0.760 Sc
0.310 0.434 0.240 Sc
0.000 0.000 0.000 Sc

5.
Li2ReMoN4 | Alexandria via LeMat-Bulk | GGA-PBE | relaxed; energy relative to the elements, uncorrected = -0.3436 eV per atom
1.0
4.993 0.000 0.000
0.000 5.875 0.000
0.000 0.000 6.663
Li Re Mo N
4 2 2 8
direct
0.482 0.349 0.259 Li
0.482 0.349 0.741 Li
0.982 0.651 0.759 Li
0.982 0.651 0.241 Li
0.517 0.842 0.500 Re
0.017 0.158 0.000 Re
0.959 0.151 0.500 Mo
0.459 0.849 0.000 Mo
0.394 0.179 0.000 N
0.894 0.821 0.500 N
0.348 0.131 0.500 N
0.848 0.869 0.000 N
0.409 0.700 0.741 N
0.909 0.300 0.241 N
0.909 0.300 0.759 N
0.409 0.700 0.259 N

6.
Ta2InRe | Alexandria via LeMat-Bulk | GGA-PBE | relaxed; DFT formation energy = 0.3 eV/f.u.
1.0
2.893 0.003 0.000
-1.014 2.709 0.000
0.000 0.000 9.236
In Re Ta
1 1 2
direct
0.500 0.500 0.250 In
0.500 0.500 0.750 Re
0.000 0.000 0.982 Ta
0.000 0.000 0.518 Ta

7.
CaLaZr2 | Alexandria via LeMat-Bulk | GGA-PBE | relaxed; DFT formation energy = 1.3 eV/f.u.
1.0
-1.335 2.339 2.061
-4.343 -0.344 -2.423
-2.001 -4.918 4.286
Ca Zr La
1 2 1
direct
0.500 0.500 0.250 Ca
0.000 0.000 0.982 Zr
0.000 0.000 0.518 Zr
0.500 0.500 0.750 La

8.
FeIrBr | Alexandria via LeMat-Bulk | GGA-PBE | relaxed; energy relative to the elements, uncorrected = 0.6594 eV per atom
1.0
7.496 -0.072 0.043
6.685 2.756 0.153
0.812 -1.245 2.541
Br Fe Ir
1 1 1
direct
0.027 0.027 0.973 Br
0.670 0.670 0.330 Fe
0.303 0.303 0.697 Ir

9.
Te6Au2Se | Alexandria via LeMat-Bulk | GGA-PBE | relaxed; energy relative to the elements, uncorrected = 0.0784 eV per atom
1.0
7.295 0.634 0.614
2.971 9.014 -0.477
2.971 -0.184 9.025
Te Au Se
12 4 2
direct
0.448 0.713 0.488 Te
0.052 0.512 0.287 Te
0.552 0.287 0.512 Te
0.948 0.488 0.713 Te
0.885 0.961 0.427 Te
0.615 0.573 0.039 Te
0.115 0.039 0.573 Te
0.385 0.427 0.961 Te
0.104 0.832 0.970 Te
0.396 0.030 0.168 Te
0.896 0.168 0.030 Te
0.604 0.970 0.832 Te
0.244 0.589 0.735 Au
0.256 0.265 0.411 Au
0.756 0.411 0.265 Au
0.744 0.735 0.589 Au
0.250 0.181 0.819 Se
0.750 0.819 0.181 Se

10.
LiFeMo | Alexandria via LeMat-Bulk | GGA-PBE | relaxed; DFT formation energy = 0.9 eV/f.u.
1.0
7.029 0.033 -0.023
6.386 2.549 0.070
0.643 -0.770 2.397
Fe Li Mo
1 1 1
direct
0.003 0.003 0.997 Fe
0.340 0.340 0.660 Li
0.657 0.657 0.343 Mo

Number 1: mass density 7.296 g/cm³, total energy -65.97 eV for the cell shown, DOS at the Fermi energy 9.4 states/eV/f.u.. Number 2: mass density 6.569 g/cm³, total energy -66.13 eV for the cell shown, DOS at the Fermi energy 17.2 states/eV/f.u.. Number 3: mass density 4.692 g/cm³, total energy -19.51 eV for the cell shown, DOS at the Fermi energy 7.1 states/eV/f.u.. Number 4: mass density 5.929 g/cm³, total energy -48.86 eV for the cell shown, DOS at the Fermi energy 14.1 states/eV/f.u.. Number 5: mass density 5.982 g/cm³, total energy -126.31 eV for the cell shown, DOS at the Fermi energy 0.5 states/eV/f.u.. Number 6: mass density 15.198 g/cm³, total energy -38.56 eV for the cell shown, DOS at the Fermi energy 2.9 states/eV/f.u.. Number 7: mass density 5.202 g/cm³, total energy -22.71 eV for the cell shown, DOS at the Fermi energy 5.4 states/eV/f.u.. Number 8: mass density 9.957 g/cm³, total energy -17.02 eV for the cell shown, DOS at the Fermi energy 3.1 states/eV/f.u.. Number 9: mass density 7.369 g/cm³, total energy -56.37 eV for the cell shown, DOS at the Fermi energy 2.6 states/eV/f.u.. Number 10: mass density 6.132 g/cm³, total energy -20.29 eV for the cell shown, DOS at the Fermi energy 3.0 states/eV/f.u..